1.
8
Lattice="-3.3056 3.8197 4.1218 3.3056 -3.8197 4.1218 3.3056 3.8197 -4.1218" Properties=species:S:1:pos:R:3 comment="BaCu2OsSe4 (GGA-PBE, relaxed)" relative_energy_ev_per_atom=0.0657 pbc="T T T"
Ba 0.0000 0.0000 0.0000
Cu 3.3056 0.0000 2.8419
Cu 0.0000 3.8197 1.2799
Os 0.0000 0.0000 4.1218
Se 1.8978 2.4792 -1.3743
Se 1.4078 -1.3405 5.4961
Se 1.4078 1.3405 2.7475
Se 1.8978 5.1602 1.3743

2.
9
Lattice="3.9774 0.0000 0.0000 0.0000 6.4783 3.7752 0.0000 -6.4783 3.7752" Properties=species:S:1:pos:R:3 comment="Dy3Mg2SnPdPt2 (GGA-PBE, relaxed)" total_energy_ev_per_atom=-5.18 pbc="T T T"
Dy 0.0000 0.0000 0.0000
Dy 0.0000 -2.6475 2.8256
Dy 0.0000 2.6475 2.8256
Mg 1.9887 -1.6191 5.3345
Mg 1.9887 1.6191 5.3345
Sn 1.9887 0.0000 2.5486
Pd 0.0000 0.0000 4.4819
Pt 1.9887 -4.2893 4.3396
Pt 1.9887 4.2893 4.3396